[1]
Ac2La8Cd | GGA-PBE | relaxed

```
Ac2La8Cd
1.0
10.2291 -2.9882 0.0000
10.2291 2.9882 0.0000
-0.4776 0.0000 6.7547
Ac La Cd
2 8 1
direct
0.2361 0.2361 0.3209
0.7639 0.7639 0.6791
0.0382 0.0382 0.2560
0.1485 0.1485 0.7955
0.3434 0.3434 0.8833
0.4202 0.4202 0.3976
0.5798 0.5798 0.6024
0.6566 0.6566 0.1167
0.8515 0.8515 0.2045
0.9618 0.9618 0.7440
0.5000 0.5000 0.0000
```

Results
- V: 37.54 Å³/atom
- Crystal system: monoclinic
- Mass density: 6.75 Mg/m³
- Formation enthalpy at 0 K: -1.7 kJ per mole of atoms
- Total energy: -0.163 hartree per atom

=====

[2]
Tb2CI | GGA-PBE | relaxed

```
Tb2CI
1.0
3.7854 0.0000 0.0000
-1.8927 3.2783 0.0000
0.0000 0.0000 14.8464
Tb C I
4 2 2
direct
0.3333 0.6667 0.0857
0.3333 0.6667 0.4143
0.6667 0.3333 0.5857
0.6667 0.3333 0.9143
0.0000 0.0000 0.0000
0.0000 0.0000 0.5000
0.3333 0.6667 0.7500
0.6667 0.3333 0.2500
```

Results
- Raw formation energy: -0.76 eV/atom
- V: 23.03 Å³/atom
- Crystal system: hexagonal
- Mass density: 8.23 Mg/m³
- Total energy: -0.212 hartree per atom

=====

Look up the total energy of the first one.
-0.163 hartree per atom

=====

What is the V in the first record?
37.54 Å³/atom

=====

Among the records above, which one has the lowest mass density?
Ac2La8Cd